Computed, not measured: a relaxed Pr8Rh3SeBr4 crystal at the PBE-GGA level of DFT.

Cell: 9.1340 9.1340 9.1340 Å, 55.29 55.29 55.29°
With the nearest neighbours (Å) after each atom.
Element x y z (fractional)
Pr  0.2163  0.7425  0.7425  2 Rh 2.85, 1 Se 3.01
Pr  0.2319  0.2319  0.2319  3 Rh 2.88
Pr  0.2575  0.2575  0.7837  2 Rh 2.85, 1 Se 3.01
Pr  0.2575  0.7837  0.2575  2 Rh 2.85, 1 Se 3.01
Pr  0.7425  0.2163  0.7425  2 Rh 2.85, 1 Se 3.01
Pr  0.7425  0.7425  0.2163  2 Rh 2.85, 1 Se 3.01
Pr  0.7681  0.7681  0.7681  3 Rh 2.88
Pr  0.7837  0.2575  0.2575  2 Rh 2.85, 1 Se 3.01
Rh  0.0000  0.0000  0.5000  6 Pr 2.85-2.88
Rh  0.0000  0.5000  0.0000  6 Pr 2.85-2.88
Rh  0.5000  0.0000  0.0000  6 Pr 2.85-2.88
Se  0.5000  0.5000  0.5000  6 Pr 3.01
Br  0.0000  0.0000  0.0000  6 Pr 3.27
Br  0.0000  0.5000  0.5000  6 Pr 3.39-3.41
Br  0.5000  0.0000  0.5000  6 Pr 3.39-3.41
Br  0.5000  0.5000  0.0000  6 Pr 3.39-3.41

**Symmetry**: R-3m (166)
**Electronic total energy**: -5.54 eV/atom